# HoCo4Au3O12

A relaxed HoCo4Au3O12 crystal (GGA+U, OQMD via LeMat-Bulk).

Unit cell a=7.430 b=7.430 c=7.430 alpha=90.00 beta=90.00 gamma=90.00
Space group Im-3 (No. 204)
Asymmetric unit:
Ho 0.000 0.000 0.000 [2 per cell]
Co 0.250 0.250 0.250 [8 per cell]
Au 0.000 0.000 0.500 [6 per cell]
O 0.000 0.176 0.291 [24 per cell]

Results
Uncorrected energy in eV/atom: -5.65
Crystal system: cubic